DFT (PBE) results for CsSnAu3 after structural relaxation.

CIF file:
```
data_CsSnAu3
_space_group_name_H-M_alt 'P m -3 m'
_space_group_IT_number 221
_space_group_name_Hall '-P 4 2 3'
_cell_length_a 5.9088
_cell_length_b 5.9088
_cell_length_c 5.9088
_cell_angle_alpha 90.00
_cell_angle_beta 90.00
_cell_angle_gamma 90.00
loop_
_atom_site_label
_atom_site_type_symbol
_atom_site_fract_x
_atom_site_fract_y
_atom_site_fract_z
_atom_site_occupancy
Cs1 Cs 0.0000 0.0000 0.0000 1
Sn1 Sn 0.5000 0.5000 0.5000 1
Au1 Au 0.0000 0.0000 0.5000 1
```

Calculated values
The density is 6.78 g cm⁻³. For the energy relative to the lowest polymorph listed for this composition, the calculation gives 1409.6 meV/atom. Its magnetic moment is 0.00 μB per cell. As for the density of states at the Fermi level: 1.0 states/eV/f.u.


DFT (PBE) results for CsSn3Au after structural relaxation.

CIF file:
```
data_CsSn3Au
_space_group_name_H-M_alt 'P 1 21/c 1'
_space_group_IT_number 14
_space_group_name_Hall '-P 2ybc'
_cell_length_a 8.1588
_cell_length_b 6.4802
_cell_length_c 14.4448
_cell_angle_alpha 90.00
_cell_angle_beta 120.06
_cell_angle_gamma 90.00
loop_
_atom_site_label
_atom_site_type_symbol
_atom_site_fract_x
_atom_site_fract_y
_atom_site_fract_z
_atom_site_occupancy
Cs1 Cs 0.1866 0.1308 0.2854 1
Sn1 Sn 0.0412 0.2296 0.9785 1
Sn2 Sn 0.3022 0.6530 0.4911 1
Sn3 Sn 0.4817 0.6602 0.3419 1
Au1 Au 0.2994 0.5159 0.1278 1
```

Calculated values
The density is 6.89 g cm⁻³. For the energy relative to the lowest polymorph listed for this composition, the calculation gives 0.0 meV/atom. Its magnetic moment is 0.00 μB per cell. As for the density of states at the Fermi level: 1.8 states/eV/f.u.


DFT (PBE) results for Cs3SnAu after structural relaxation.

CIF file:
```
data_Cs3SnAu
_space_group_name_H-M_alt 'C 1 2/m 1'
_space_group_IT_number 12
_space_group_name_Hall '-C 2y'
_cell_length_a 12.3521
_cell_length_b 11.1729
_cell_length_c 9.5927
_cell_angle_alpha 90.00
_cell_angle_beta 125.13
_cell_angle_gamma 90.00
loop_
_atom_site_label
_atom_site_type_symbol
_atom_site_fract_x
_atom_site_fract_y
_atom_site_fract_z
_atom_site_occupancy
Cs1 Cs 0.1038 0.0000 0.3096 1
Cs2 Cs 0.2267 0.2987 0.1967 1
Sn1 Sn 0.0083 0.5000 0.3572 1
Au1 Au 0.2453 0.0000 0.0712 1
```

Calculated values
The density is 4.38 g cm⁻³. For the energy relative to the lowest polymorph listed for this composition, the calculation gives 0.0 meV/atom. Its magnetic moment is 0.00 μB per cell. As for the density of states at the Fermi level: 3.3 states/eV/f.u.


DFT (PBE) results for CsSn5Au4 after structural relaxation.

CIF file:
```
data_CsSn5Au4
_space_group_name_H-M_alt 'P m m n'
_space_group_IT_number 59
_cell_length_a 7.6154
_cell_length_b 10.0144
_cell_length_c 7.1795
_cell_angle_alpha 90.00
_cell_angle_beta 90.00
_cell_angle_gamma 90.00
loop_
_space_group_symop_operation_xyz
'x,y,z'
'-x,-y,-z'
'-x+1/2,-y+1/2,z'
'x+1/2,y+1/2,-z'
'x+1/2,-y,-z'
'-x+1/2,y,z'
'-x,y+1/2,-z'
'x,-y+1/2,z'
loop_
_atom_site_label
_atom_site_type_symbol
_atom_site_fract_x
_atom_site_fract_y
_atom_site_fract_z
_atom_site_occupancy
Cs1 Cs 0.2500 0.2500 0.0152 1
Sn1 Sn 0.0264 0.5188 0.2826 1
Sn2 Sn 0.2500 0.7500 0.6610 1
Au1 Au 0.0673 0.2500 0.5167 1
Au2 Au 0.2500 0.5893 0.9748 1
```

Calculated values
The density is 9.19 g cm⁻³. Its magnetic moment is 0.00 μB per cell. As for the raw total energy: -3.512 eV per atom. As for the density of states at the Fermi level: 4.5 states/eV/f.u.


DFT (PBE) results for Cs2SnAu6 after structural relaxation.

CIF file:
```
data_Cs2SnAu6
_space_group_name_H-M_alt 'C 1 2/m 1'
_space_group_IT_number 12
_space_group_name_Hall '-C 2y'
_cell_length_a 12.5666
_cell_length_b 7.2522
_cell_length_c 6.8644
_cell_angle_alpha 90.00
_cell_angle_beta 90.21
_cell_angle_gamma 90.00
loop_
_atom_site_label
_atom_site_type_symbol
_atom_site_fract_x
_atom_site_fract_y
_atom_site_fract_z
_atom_site_occupancy
Cs1 Cs 0.1670 0.0000 0.3728 1
Sn1 Sn 0.0000 0.5000 0.0000 1
Au1 Au 0.1033 0.1892 0.8922 1
Au2 Au 0.2077 0.5000 0.1072 1
```

Calculated values
The density is 8.32 g cm⁻³. Its magnetic moment is 0.00 μB per cell. As for the raw total energy: -3.005 eV per atom. As for the density of states at the Fermi level: 4.2 states/eV/f.u.


DFT (PBE) results for CsSn3Au3 after structural relaxation.

CIF file:
```
data_CsSn3Au3
_space_group_name_H-M_alt 'R 3 c'
_space_group_IT_number 161
_space_group_name_Hall 'R 3 -2"c'
_cell_length_a 12.4528
_cell_length_b 12.4528
_cell_length_c 9.9126
_cell_angle_alpha 90.00
_cell_angle_beta 90.00
_cell_angle_gamma 120.00
loop_
_atom_site_label
_atom_site_type_symbol
_atom_site_fract_x
_atom_site_fract_y
_atom_site_fract_z
_atom_site_occupancy
Cs1 Cs 0.0000 0.0000 0.0000 1
Sn1 Sn 0.0095 0.4089 0.4204 1
Au1 Au 0.1652 0.3455 0.0070 1
```

Calculated values
The density is 8.08 g cm⁻³. For the energy relative to the lowest polymorph listed for this composition, the calculation gives 0.0 meV/atom. Its magnetic moment is 0.00 μB per cell. As for the density of states at the Fermi level: 2.0 states/eV/f.u.


DFT (PBE) results for Cs3Sn7Au2 after structural relaxation.

CIF file:
```
data_Cs3Sn7Au2
_space_group_name_H-M_alt 'P 1 2/m 1'
_space_group_IT_number 10
_space_group_name_Hall '-P 2y'
_cell_length_a 6.7497
_cell_length_b 4.5365
_cell_length_c 14.1828
_cell_angle_alpha 90.00
_cell_angle_beta 103.46
_cell_angle_gamma 90.00
loop_
_atom_site_label
_atom_site_type_symbol
_atom_site_fract_x
_atom_site_fract_y
_atom_site_fract_z
_atom_site_occupancy
Cs1 Cs 0.0000 0.0000 0.0000 1
Cs2 Cs 0.2033 0.0000 0.3986 1
Sn1 Sn 0.1150 0.5000 0.8108 1
Sn2 Sn 0.3321 0.5000 0.6571 1
Sn3 Sn 0.4429 0.0000 0.8265 1
Sn4 Sn 0.5000 0.5000 0.0000 1
Au1 Au 0.2980 0.5000 0.2018 1
```

Calculated values
The density is 6.38 g cm⁻³. Its magnetic moment is 0.00 μB per cell. As for the raw total energy: -3.284 eV per atom. As for the density of states at the Fermi level: 5.2 states/eV/f.u.


DFT (PBE) results for Cs2Sn2Au3 after structural relaxation.

CIF file:
```
data_Cs2Sn2Au3
_space_group_name_H-M_alt 'P 1 21/c 1'
_space_group_IT_number 14
_space_group_name_Hall '-P 2ybc'
_cell_length_a 7.5451
_cell_length_b 7.9898
_cell_length_c 9.1555
_cell_angle_alpha 90.00
_cell_angle_beta 109.77
_cell_angle_gamma 90.00
loop_
_atom_site_label
_atom_site_type_symbol
_atom_site_fract_x
_atom_site_fract_y
_atom_site_fract_z
_atom_site_occupancy
Cs1 Cs 0.1923 0.0999 0.4063 1
Sn1 Sn 0.3550 0.6059 0.5551 1
Au1 Au 0.0000 0.0000 0.0000 1
Au2 Au 0.4392 0.6725 0.2895 1
```

Calculated values
The density is 7.00 g cm⁻³. For the energy relative to the lowest polymorph listed for this composition, the calculation gives 0.0 meV/atom. Its magnetic moment is 0.00 μB per cell. As for the density of states at the Fermi level: 2.8 states/eV/f.u.


DFT (PBE) results for Cs2SrSnAu after structural relaxation.

CIF file:
```
data_Cs2SrSnAu
_space_group_name_H-M_alt 'P 4/m m m'
_space_group_IT_number 123
_space_group_name_Hall '-P 4 2'
_cell_length_a 7.2360
_cell_length_b 7.2360
_cell_length_c 6.4028
_cell_angle_alpha 90.00
_cell_angle_beta 90.00
_cell_angle_gamma 90.00
loop_
_atom_site_label
_atom_site_type_symbol
_atom_site_fract_x
_atom_site_fract_y
_atom_site_fract_z
_atom_site_occupancy
Cs1 Cs 0.0000 0.5000 0.0000 1
Sr1 Sr 0.0000 0.0000 0.5000 1
Sn1 Sn 0.0000 0.0000 0.0000 1
Au1 Au 0.5000 0.5000 0.5000 1
```

Calculated values
The density is 3.31 g cm⁻³. Its magnetic moment is 0.00 μB per cell. As for the raw total energy: -2.040 eV per atom. As for the density of states at the Fermi level: 4.4 states/eV/f.u.


DFT (PBE) results for CsSnTe2Au after structural relaxation.

CIF file:
```
data_CsSnTe2Au
_space_group_name_H-M_alt 'C m m e'
_space_group_IT_number 67
_space_group_name_Hall '-C 2a 2'
_cell_length_a 7.6068
_cell_length_b 16.3098
_cell_length_c 6.6537
_cell_angle_alpha 90.00
_cell_angle_beta 90.00
_cell_angle_gamma 90.00
loop_
_atom_site_label
_atom_site_type_symbol
_atom_site_fract_x
_atom_site_fract_y
_atom_site_fract_z
_atom_site_occupancy
Cs1 Cs 0.0000 0.2500 0.2352 1
Sn1 Sn 0.2500 0.0000 0.5000 1
Te1 Te 0.0000 0.1202 0.7394 1
Au1 Au 0.0000 0.0000 0.0000 1
```

Calculated values
The calculation puts the formation energy without anion corrections at -0.452 eV per atom. The density is 5.66 g cm⁻³. Its magnetic moment is 0.00 μB per cell. As for the density of states at the Fermi level: 0.2 states/eV/f.u.


DFT (PBE) results for Cs2SnTe4Au after structural relaxation.

CIF file:
```
data_Cs2SnTe4Au
_space_group_name_H-M_alt 'F d d d'
_space_group_IT_number 70
_cell_length_a 7.2551
_cell_length_b 15.9761
_cell_length_c 24.5621
_cell_angle_alpha 90.00
_cell_angle_beta 90.00
_cell_angle_gamma 90.00
loop_
_space_group_symop_operation_xyz
'x,y,z'
'-x,-y,-z'
'-x+1/4,-y+1/4,z'
'x+1/4,y+1/4,-z'
'x,-y+1/4,-z+1/4'
'-x,y+1/4,z+1/4'
'-x+1/4,y,-z+1/4'
'x+1/4,-y,z+1/4'
'x,y+1/2,z+1/2'
'-x,-y+1/2,-z+1/2'
'-x+1/4,-y+3/4,z+1/2'
'x+1/4,y+3/4,-z+1/2'
'x,-y+3/4,-z+3/4'
'-x,y+3/4,z+3/4'
'-x+1/4,y+1/2,-z+3/4'
'x+1/4,-y+1/2,z+3/4'
'x+1/2,y,z+1/2'
'-x+1/2,-y,-z+1/2'
'-x+3/4,-y+1/4,z+1/2'
'x+3/4,y+1/4,-z+1/2'
'x+1/2,-y+1/4,-z+3/4'
'-x+1/2,y+1/4,z+3/4'
'-x+3/4,y,-z+3/4'
'x+3/4,-y,z+3/4'
'x+1/2,y+1/2,z'
'-x+1/2,-y+1/2,-z'
'-x+3/4,-y+3/4,z'
'x+3/4,y+3/4,-z'
'x+1/2,-y+3/4,-z+1/4'
'-x+1/2,y+3/4,z+1/4'
'-x+3/4,y+1/2,-z+1/4'
'x+3/4,-y+1/2,z+1/4'
loop_
_atom_site_label
_atom_site_type_symbol
_atom_site_fract_x
_atom_site_fract_y
_atom_site_fract_z
_atom_site_occupancy
Cs1 Cs 0.1250 0.1250 0.3055 1
Sn1 Sn 0.1250 0.1250 0.6250 1
Te1 Te 0.1207 0.2736 0.8182 1
Au1 Au 0.1250 0.1250 0.1250 1
```

Calculated values
The calculation puts the formation energy without anion corrections at -0.507 eV per atom. The density is 5.09 g cm⁻³. Its magnetic moment is 0.00 μB per cell. As for the density of states at the Fermi level: 1.8 states/eV/f.u.


DFT (PBE) results for Cs2SnTe6Au2 after structural relaxation.

CIF file:
```
data_Cs2SnTe6Au2
_space_group_name_H-M_alt 'C 1 2/m 1'
_space_group_IT_number 12
_space_group_name_Hall '-C 2y'
_cell_length_a 13.9636
_cell_length_b 8.1629
_cell_length_c 8.8114
_cell_angle_alpha 90.00
_cell_angle_beta 121.21
_cell_angle_gamma 90.00
loop_
_atom_site_label
_atom_site_type_symbol
_atom_site_fract_x
_atom_site_fract_y
_atom_site_fract_z
_atom_site_occupancy
Cs1 Cs 0.2490 0.0000 0.2498 1
Sn1 Sn 0.0000 0.0000 0.5000 1
Te1 Te 0.0249 0.2190 0.7882 1
Te2 Te 0.2418 0.0000 0.7853 1
Au1 Au 0.0790 0.5000 0.2448 1
```

Calculated values
The calculation puts the formation energy without anion corrections at -0.299 eV per atom. The density is 5.97 g cm⁻³. Its magnetic moment is 0.00 μB per cell. As for the density of states at the Fermi level: 2.9 states/eV/f.u.